First-principles (GGA-PBE) data for an optimized crystal structure of CuAg2Ir, as listed in Alexandria via LeMat-Bulk.

```
data_CuAg2Ir
_chemical_formula_sum 'Cu2 Ag4 Ir2'
_cell_length_a 2.774
_cell_length_b 4.693
_cell_length_c 9.555
_cell_angle_alpha 90.00
_cell_angle_beta 90.00
_cell_angle_gamma 90.00
_space_group_name_H-M_alt 'I m m m'
_space_group_IT_number 71
_space_group_name_Hall '-I 2 2'
loop_
_atom_site_label
_atom_site_fract_x
_atom_site_fract_y
_atom_site_fract_z
Cu1 0.000 0.000 0.000
Ag1 0.000 0.500 0.261
Ir1 0.000 0.000 0.500
```

ΔE_f: 0.332 eV per atom
uncorrected energy: -34.66 eV for the cell shown
mass density: 12.59 Mg/m³
ΔE to the lowest computed polymorph: 0.1342 eV per atom
spin magnetization: 0.075 μB per atom